VASP calculation (GGA-PBE) on a relaxed CdHgOs2 crystal.

Cell and atoms, written as POSCAR:
```
CdHgOs2
1.0
-2.3995 -3.7401 -1.1505
-3.9423 0.4239 -2.3126
-0.2372 -1.3135 -4.3918
Cd Hg Os
1 1 2
Direct
0.5000 0.5000 0.5000
0.2500 0.2500 0.2500
0.7500 0.7500 0.7500
0.0000 0.0000 0.0000
```

Properties
As for the space group: F-43m. The formation energy comes out at 0.9552 eV per atom. Its crystal system is cubic. Its total energy is -4.96 eV/atom.